No. 1
Cs2Cd6As3 | PBE | optimized geometry

Calculated values
**SG**: P-62m, No. 189
**Uncorrected energy**: -2.084 eV per atom
**ΔH_f (0 K)**: -0.16 eV/atom
**Calculated volume**: 28.879 A^3/atom

Lattice parameters (Å, degrees): 4.686 8.847 8.847 120.00 90.00 90.00
Positions (direct):
Cs1 0.000 0.667 0.333
Cs2 0.000 0.333 0.667
Cd1 0.500 0.294 0.000
Cd2 0.500 0.706 0.706
Cd3 0.000 0.811 0.000
Cd4 0.000 0.000 0.811
Cd5 0.500 0.000 0.294
Cd6 0.000 0.189 0.189
As1 0.500 0.641 0.000
As2 0.500 0.000 0.641
As3 0.500 0.359 0.359

***

No. 2
Cs3Cd4As4 | PBE | optimized geometry

Calculated values
**SG**: I-43m, No. 217
**Uncorrected energy**: -2.572 eV per atom
**ΔH_f (0 K)**: -0.32 eV/atom
**Calculated volume**: 31.782 A^3/atom

Lattice parameters (Å, degrees): 7.687 7.687 7.687 109.47 109.47 109.47
Positions (direct):
Cs1 0.500 0.500 0.000
Cs2 0.500 0.000 0.500
Cs3 0.000 0.500 0.500
Cd1 0.000 0.299 0.000
Cd2 0.000 0.000 0.299
Cd3 0.299 0.000 0.000
Cd4 0.701 0.701 0.701
As1 0.000 0.666 0.000
As2 0.666 0.000 0.000
As3 0.000 0.000 0.666
As4 0.334 0.334 0.334

***

No. 3
CsCdAs | PBE | optimized geometry

Calculated values
**SG**: P2_1, No. 4
**Uncorrected energy**: -2.503 eV per atom
**ΔH_f (0 K)**: -0.36 eV/atom
**Calculated volume**: 36.378 A^3/atom

Lattice parameters (Å, degrees): 7.626 4.537 6.604 90.01 90.01 72.79
Positions (direct):
Cs1 0.223 0.668 0.357
Cs2 0.948 0.808 0.857
As1 0.408 0.077 0.983
As2 0.763 0.400 0.483
Cd1 0.640 0.961 0.312
Cd2 0.531 0.515 0.812

***

No. 4
CsCd5As4 | PBE | optimized geometry

Calculated values
**SG**: Immm, No. 71
**Uncorrected energy**: -2.466 eV per atom
**ΔH_f (0 K)**: -0.06 eV/atom
**Calculated volume**: 28.491 A^3/atom

Lattice parameters (Å, degrees): 4.776 9.089 7.535 114.52 90.00 105.23
Positions (direct):
Cs1 0.500 0.000 0.000
Cd1 0.172 0.343 0.390
Cd2 0.171 0.342 0.953
Cd3 0.829 0.658 0.047
Cd4 0.500 0.000 0.500
Cd5 0.828 0.657 0.610
As1 0.719 0.439 0.219
As2 0.000 0.000 0.321
As3 0.281 0.561 0.781
As4 0.000 0.000 0.679

***

No. 5
Cs12Cd5As3 | PBE | optimized geometry

Calculated values
**SG**: Ia-3d, No. 230
**Uncorrected energy**: -1.405 eV per atom
**ΔH_f (0 K)**: 0.03 eV/atom
**Calculated volume**: 65.926 A^3/atom

Lattice parameters (Å, degrees): 18.993 18.993 18.993 109.47 109.47 109.47
Positions (direct):
Cs1 0.741 0.135 0.071
Cs2 0.330 0.571 0.435
Cs3 0.929 0.365 0.259
Cs4 0.571 0.241 0.135
Cs5 0.605 0.741 0.670
Cs6 0.929 0.565 0.170
Cs7 0.330 0.759 0.395
Cs8 0.065 0.895 0.135
Cs9 0.565 0.929 0.670
Cs10 0.741 0.605 0.170
Cs11 0.759 0.429 0.365
Cs12 0.830 0.935 0.071
Cs13 0.135 0.741 0.571
Cs14 0.365 0.435 0.105
Cs15 0.105 0.935 0.365
Cs16 0.395 0.135 0.565
Cs17 0.105 0.170 0.241
Cs18 0.429 0.670 0.065
Cs19 0.830 0.895 0.259
Cs20 0.135 0.395 0.065
Cs21 0.365 0.929 0.759
Cs22 0.565 0.635 0.395
Cs23 0.935 0.830 0.571
Cs24 0.759 0.330 0.895
Cs25 0.435 0.365 0.605
Cs26 0.065 0.170 0.429
Cs27 0.241 0.670 0.105
Cs28 0.170 0.105 0.741
Cs29 0.635 0.071 0.241
Cs30 0.865 0.605 0.935
Cs31 0.571 0.330 0.935
Cs32 0.605 0.865 0.435
Cs33 0.895 0.830 0.759
Cs34 0.895 0.065 0.635
Cs35 0.865 0.259 0.429
Cs36 0.170 0.065 0.929
Cs37 0.635 0.565 0.895
Cs38 0.435 0.071 0.330
Cs39 0.259 0.395 0.830
Cs40 0.241 0.571 0.635
Cs41 0.935 0.105 0.865
Cs42 0.670 0.241 0.605
Cs43 0.429 0.759 0.865
Cs44 0.071 0.435 0.830
Cs45 0.395 0.259 0.330
Cs46 0.071 0.635 0.741
Cs47 0.670 0.429 0.565
Cs48 0.259 0.865 0.929
As1 0.750 0.375 0.125
As2 0.875 0.750 0.125
As3 0.375 0.750 0.625
As4 0.250 0.125 0.375
As5 0.875 0.125 0.250
As6 0.375 0.625 0.250
As7 0.625 0.375 0.750
As8 0.125 0.875 0.750
As9 0.750 0.875 0.625
As10 0.625 0.250 0.375
As11 0.125 0.250 0.875
As12 0.250 0.625 0.875
Cd1 0.125 0.375 0.250
Cd2 0.000 0.500 0.000
Cd3 0.000 0.000 0.000
Cd4 0.375 0.250 0.125
Cd5 0.500 0.000 0.500
Cd6 0.500 0.500 0.000
Cd7 0.125 0.750 0.375
Cd8 0.750 0.125 0.875
Cd9 0.750 0.625 0.375
Cd10 0.375 0.125 0.750
Cd11 0.625 0.875 0.250
Cd12 0.500 0.500 0.500
Cd13 0.500 0.000 0.000
Cd14 0.000 0.000 0.500
Cd15 0.250 0.375 0.625
Cd16 0.250 0.875 0.125
Cd17 0.000 0.500 0.500
Cd18 0.875 0.250 0.625
Cd19 0.625 0.750 0.875
Cd20 0.875 0.625 0.750

***

No. 6
CsCd6As2 | PBE | optimized geometry

Calculated values
**SG**: P4/mmm, No. 123
**Uncorrected energy**: -1.886 eV per atom
**ΔH_f (0 K)**: -0.15 eV/atom
**Calculated volume**: 26.973 A^3/atom

Lattice parameters (Å, degrees): 4.442 4.442 12.302 90.00 90.00 90.00
Positions (direct):
Cs1 0.000 0.000 0.000
Cd1 0.000 0.500 0.312
Cd2 0.500 0.000 0.312
Cd3 0.000 0.500 0.688
Cd4 0.500 0.000 0.688
Cd5 0.500 0.500 0.500
Cd6 0.000 0.000 0.500
As1 0.500 0.500 0.180
As2 0.500 0.500 0.820

***

- Number 2 is which compound?
  Cs3Cd4As4